Entry 1:
CaCoCl | PBE | optimized geometry

Values from the calculation:
E_form (uncorrected): -877 meV per atom
Space group: Cmcm

Cell and atoms, written as POSCAR:
```
CaCoCl
1.0
5.4285 0.0560 -0.3281
-1.3580 8.6708 0.1611
-2.7124 -0.4777 2.8435
Co Ca Cl
2 2 2
Cartesian
-1.3928 7.0704 2.2866
-0.0368 8.3211 1.0347
4.0353 0.9916 0.9300
1.3220 5.7854 1.9020
1.3209 2.1200 1.2880
-1.3921 4.6008 1.8719
```


Entry 2:
LiSn2Ge2 | PBE | optimized geometry

Values from the calculation:
Space group: I4/mmm
Energy relative to the elements: 0.1308 eV/atom

Cell and atoms, written as POSCAR:
```
LiSn2Ge2
1.0
-2.5967 0.6213 -3.7085
-3.3415 -2.4480 1.9296
-5.3615 4.3705 1.6710
Ge Li Sn
2 1 2
Cartesian
-7.8451 2.3849 0.2620
-3.4545 0.1588 -0.3699
0.0000 0.0000 0.0000
-5.4636 2.0392 -1.4635
-5.8360 0.5046 1.3556
```


Entry 3:
Li3Th2AlNi12 | PBE | optimized geometry

Values from the calculation:
Space group: R-3m
Energy relative to the elements: 0.0387 eV/atom

Cell and atoms, written as POSCAR:
```
Li3Th2AlNi12
1.0
9.0705 1.8495 1.3118
6.0877 6.9739 1.3118
6.0877 3.5435 6.1481
Ni Al Li Th
12 1 3 2
Cartesian
12.3605 5.8413 4.1432
5.3400 4.6138 1.6774
15.9059 7.7531 7.0943
11.1836 6.5098 6.0515
8.8854 6.5256 4.6285
11.1836 7.8633 4.1432
14.5968 10.0020 7.0943
15.9059 9.2585 4.9718
10.0623 5.8571 2.7202
5.3400 3.1083 3.7999
6.6491 2.3649 1.6774
10.0623 4.5036 4.6285
0.0000 0.0000 0.0000
4.5353 0.9247 0.6559
3.0438 1.7718 3.0740
3.0438 3.4869 0.6559
13.5049 7.8610 5.5757
7.7409 4.5059 3.1960
```


Entry 4:
Sm2ThTl4 | PBE | optimized geometry

Values from the calculation:
Space group: P4/mmm
Energy relative to the elements: -0.1435 eV/atom

Cell and atoms, written as POSCAR:
```
Sm2ThTl4
1.0
-0.6256 -3.1050 -4.1921
-2.1608 -3.6887 3.0546
-7.1829 3.1583 -1.2673
Tl Th Sm
4 1 2
Cartesian
-3.0269 -0.9885 1.1839
-2.2592 -0.6966 -2.4395
-6.3169 0.4581 0.6034
-5.5492 0.7500 -3.0199
-1.3932 -3.3968 -0.5688
0.0000 0.0000 0.0000
-4.9847 -1.8177 -1.2024
```


Entry 5:
Y2MgCuC | PBE | optimized geometry

Values from the calculation:
Space group: P4/mmm
Energy relative to the elements: -0.0377 eV/atom

Cell and atoms, written as POSCAR:
```
Y2MgCuC
1.0
5.0190 0.0000 0.0000
0.0000 5.0190 0.0000
0.0000 0.0000 3.9487
Cu Mg C Y
1 1 1 2
Cartesian
0.0000 0.0000 1.9743
2.5095 2.5095 1.9743
0.0000 0.0000 0.0000
2.5095 0.0000 0.0000
0.0000 2.5095 0.0000
```


Entry 6:
TbY6Zn2 | PBE | optimized geometry

Values from the calculation:
Space group: I4/mmm
Energy relative to the elements: 0.2570 eV/atom

Cell and atoms, written as POSCAR:
```
TbY6Zn2
1.0
4.8408 0.0000 0.0000
0.0000 4.8408 0.0000
-2.4204 -2.4204 12.5459
Y Zn Tb
6 2 1
Cartesian
0.0000 2.4204 9.8339
0.0000 2.4204 6.2729
2.4204 0.0000 6.2729
2.4204 0.0000 9.8339
0.0000 2.4204 2.7120
2.4204 0.0000 2.7120
2.4204 2.4204 4.4642
0.0000 0.0000 8.0817
0.0000 0.0000 0.0000
```


Entry 7:
KLaSb2 | PBE | optimized geometry

Values from the calculation:
E_form (uncorrected): -606 meV per atom
Space group: I4/mmm

Cell and atoms, written as POSCAR:
```
KLaSb2
1.0
-3.2972 4.0467 2.6653
-5.3372 -2.3006 -0.7568
4.6577 -2.7282 2.2835
Sb La K
2 1 1
Cartesian
-4.3172 0.8731 0.9542
0.0000 0.0000 0.0000
-1.4783 1.0958 2.9515
-2.4984 -2.0778 1.2405
```


Entry 8:
HgRhW2 | PBE | optimized geometry

Values from the calculation:
Space group: I-42d
Energy relative to the elements: 0.9633 eV/atom

Cell and atoms, written as POSCAR:
```
HgRhW2
1.0
-5.9603 4.3736 -0.4225
-1.9556 -2.0029 6.8554
-2.5441 3.2082 4.2108
Rh W Hg
2 4 2
Cartesian
-4.2288 1.1954 7.1413
-3.9580 1.1854 3.2165
-8.7628 4.5540 8.5356
-2.8218 0.2573 5.2690
-4.3872 3.1249 1.6611
-4.9483 3.2218 5.8217
0.0000 0.0000 0.0000
-6.2312 4.3836 3.5024
```


Entry 9:
ZrSc | PBE | optimized geometry

Values from the calculation:
Space group: Fm-3m
Energy relative to the elements: 0.8811 eV/atom

Cell and atoms, written as POSCAR:
```
ZrSc
1.0
4.1254 0.0000 0.0000
2.0627 3.5727 0.0000
2.0627 1.1909 3.3684
Zr Sc
1 1
Cartesian
4.1254 2.3818 1.6842
0.0000 0.0000 0.0000
```


Entry 10:
CsBiSe2Br | PBE | optimized geometry

Values from the calculation:
E_form (uncorrected): 720 meV per atom
Space group: P4/mmm

Cell and atoms, written as POSCAR:
```
CsBiSe2Br
1.0
5.7569 0.0000 0.0000
0.0000 5.7569 0.0000
0.0000 0.0000 6.2818
Br Se Bi Cs
1 2 1 1
Cartesian
0.0000 0.0000 3.1409
0.0000 2.8784 0.0000
2.8784 0.0000 0.0000
2.8784 2.8784 3.1409
0.0000 0.0000 0.0000
```


Entry 11:
CsSnHgTe2 | PBE | optimized geometry

Values from the calculation:
E_form (uncorrected): -350 meV per atom
Space group: P4/mmm

Cell and atoms, written as POSCAR:
```
CsSnHgTe2
1.0
5.9587 0.0000 0.0000
0.0000 5.9587 0.0000
0.0000 0.0000 5.8300
Te Hg Cs Sn
2 1 1 1
Cartesian
2.9793 0.0000 0.0000
0.0000 2.9793 0.0000
0.0000 0.0000 2.9150
2.9793 2.9793 2.9150
0.0000 0.0000 0.0000
```


Entry 12:
SiSnPd3 | PBE | optimized geometry

Values from the calculation:
E_form (uncorrected): 730 meV per atom
Space group: Pm-3m

Cell and atoms, written as POSCAR:
```
SiSnPd3
1.0
-3.9374 2.0387 -2.1371
1.0905 -2.3063 -4.2093
-2.7449 -3.8407 1.3933
Pd Sn Si
3 1 1
Cartesian
0.5452 -1.1532 -2.1047
-1.9687 1.0194 -1.0685
-1.3724 -1.9204 0.6966
0.0000 0.0000 0.0000
-2.7959 -2.0542 -2.4766
```


Number 1: DOS(E_F) 0.752 states/eV per atom, calculated total energy -4.528 eV/atom. Number 2: DOS(E_F) 0.626 states/eV per atom, calculated total energy -3.700 eV/atom. Number 3: DOS(E_F) 0.605 states/eV per atom, calculated total energy -5.167 eV/atom. Number 4: DOS(E_F) 1.120 states/eV per atom, calculated total energy -3.904 eV/atom. Number 5: DOS(E_F) 0.910 states/eV per atom, calculated total energy -5.606 eV/atom. Number 6: DOS(E_F) 1.837 states/eV per atom, calculated total energy -4.850 eV/atom. Number 7: DOS(E_F) 0.488 states/eV per atom, calculated total energy -4.173 eV/atom. Number 8: DOS(E_F) 0.922 states/eV per atom, calculated total energy -7.427 eV/atom. Number 9: DOS(E_F) 2.255 states/eV per atom, calculated total energy -6.559 eV/atom. Number 10: DOS(E_F) 0.798 states/eV per atom, calculated total energy -1.955 eV/atom. Number 11: DOS(E_F) 0.560 states/eV per atom, calculated total energy -2.638 eV/atom. Number 12: DOS(E_F) 0.491 states/eV per atom, calculated total energy -4.271 eV/atom.